[1]
SeBr4Cl after structural relaxation, computed with GGA-PBEsol.

abc: 8.401 8.401 8.401
angles: 90.00 90.00 90.00
Space group F-43m (No. 216)
Inequivalent atoms, fractional coordinates:
Se: 0.000 0.000 0.000
Br: 0.125 0.125 0.625
Cl: 0.250 0.250 0.250

[2]
Ca3Se after structural relaxation, computed with GGA-PBEsol.

abc: 5.132 5.171 9.504
angles: 90.00 90.00 90.00
Space group Cmmm (No. 65)
Inequivalent atoms, fractional coordinates:
Ca: 0.000 0.000 0.000
Ca: 0.000 0.500 0.320
Se: 0.000 0.000 0.500

Output
* ΔE to the lowest computed polymorph: 0.0 meV/atom

[3]
CaRe2Ir after structural relaxation, computed with GGA-PBEsol.

abc: 9.281 2.749 5.377
angles: 90.00 99.18 90.00
Space group Cm (No. 8)
Inequivalent atoms, fractional coordinates:
Ca: 0.000 0.000 0.000
Re: 0.016 0.500 0.500
Re: 0.274 0.500 0.337
Ir: 0.240 0.000 0.741

Output
* formation energy: 425 meV/atom
* ΔE to the lowest computed polymorph: 151.8 meV/atom

[4]
Ba2PtCl after structural relaxation, computed with GGA-PBEsol.

abc: 4.4232 4.4232 23.6175
angles: 90.00 90.00 120.00
Space group R-3m (No. 166, hexagonal axes)
Inequivalent atoms, fractional coordinates:
Ba: 0.0000 0.0000 0.2414
Pt: 0.0000 0.0000 0.5000
Cl: 0.0000 0.0000 0.0000

Output
* ΔE to the lowest computed polymorph: 0.0 meV/atom

[5]
K2TaNi after structural relaxation, computed with GGA-PBEsol.

abc: 7.049 7.049 7.049
angles: 90.00 90.00 90.00
Space group F-43m (No. 216)
Inequivalent atoms, fractional coordinates:
K: 0.000 0.000 0.000
K: 0.250 0.250 0.250
Ta: 0.000 0.000 0.500
Ni: 0.250 0.250 0.750

Output
* formation energy: 1649 meV/atom
* ΔE to the lowest computed polymorph: 1037.9 meV/atom

[6]
La5TlS8 after structural relaxation, computed with GGA-PBEsol.

abc: 8.716 8.716 8.599
angles: 90.00 90.00 90.00
Space group I-4 (No. 82)
Inequivalent atoms, fractional coordinates:
La: 0.000 0.000 0.000
La: 0.133 0.751 0.619
Tl: 0.000 0.500 0.250
S: 0.078 0.681 0.939
S: 0.079 0.839 0.299

[7]
Na3VBAsO7 after structural relaxation, computed with GGA-PBEsol.

abc: 5.296 6.629 9.067
angles: 90.00 91.59 90.00
Space group P2_1/m (No. 11)
Inequivalent atoms, fractional coordinates:
Na: 0.238 0.250 0.074
Na: 0.246 0.001 0.757
V: 0.220 0.750 0.327
B: 0.276 0.750 0.063
As: 0.286 0.250 0.425
O: 0.038 0.750 0.127
O: 0.123 0.250 0.586
O: 0.207 0.050 0.311
O: 0.319 0.750 0.917
O: 0.394 0.750 0.533
O: 0.470 0.750 0.173

[8]
ZrTlCl after structural relaxation, computed with GGA-PBEsol.

abc: 3.2585 3.2585 7.7596
angles: 90.00 90.00 120.00
Space group P3m1 (No. 156)
Inequivalent atoms, fractional coordinates:
Zr: 0.0000 0.0000 0.0000
Tl: 0.3333 0.6667 0.3230
Cl: 0.6667 0.3333 0.7750

[9]
MnReNi2 after structural relaxation, computed with GGA-PBEsol.

abc: 8.499 2.610 4.310
angles: 90.00 100.84 90.00
Space group C2/m (No. 12)
Inequivalent atoms, fractional coordinates:
Mn: 0.000 0.000 0.000
Re: 0.000 0.500 0.500
Ni: 0.249 0.500 0.250

Output
* formation energy: 80 meV/atom
* ΔE to the lowest computed polymorph: 14.6 meV/atom

[10]
AgP2 after structural relaxation, computed with GGA-PBEsol.

abc: 12.421 3.279 4.967
angles: 90.00 96.11 90.00
Space group C2/m (No. 12)
Inequivalent atoms, fractional coordinates:
Ag: 0.175 0.000 0.334
P: 0.013 0.500 0.781
P: 0.137 0.000 0.823

Output
* formation energy: 42 meV/atom
* ΔE to the lowest computed polymorph: 60.7 meV/atom

[11]
LiCl2 after structural relaxation, computed with GGA-PBEsol.

abc: 5.790 5.790 6.504
angles: 90.00 90.00 90.00
Space group I4/mcm (No. 140)
Inequivalent atoms, fractional coordinates:
Li: 0.000 0.000 0.250
Cl: 0.162 0.338 0.000

Output
* ΔE to the lowest computed polymorph: 247.0 meV/atom

[12]
BiRhO2 after structural relaxation, computed with GGA-PBEsol.

abc: 4.199 4.199 13.152
angles: 90.00 90.00 90.00
Space group I-42d (No. 122)
Inequivalent atoms, fractional coordinates:
Bi: 0.000 0.000 0.000
Rh: 0.000 0.000 0.500
O: 0.180 0.250 0.625

[13]
Ba2Pt3 after structural relaxation, computed with GGA-PBEsol.

abc: 4.3956 4.3956 24.7951
angles: 90.00 90.00 120.00
Space group R-3m (No. 166, hexagonal axes)
Inequivalent atoms, fractional coordinates:
Ba: 0.0000 0.0000 0.0911
Pt: 0.0000 0.0000 0.3333
Pt: 0.0000 0.0000 0.5000

Output
* formation energy: -556 meV/atom

[14]
TaTeW2 after structural relaxation, computed with GGA-PBEsol.

abc: 3.291 4.426 9.448
angles: 90.00 90.00 90.00
Space group Immm (No. 71)
Inequivalent atoms, fractional coordinates:
Ta: 0.000 0.000 0.000
Te: 0.000 0.000 0.500
W: 0.000 0.500 0.252

[15]
Li2CdOs after structural relaxation, computed with GGA-PBEsol.

abc: 2.662 4.595 9.218
angles: 90.00 90.00 90.00
Space group Imm2 (No. 44)
Inequivalent atoms, fractional coordinates:
Li: 0.000 0.000 0.000
Li: 0.000 0.500 0.269
Cd: 0.000 0.000 0.524
Os: 0.000 0.500 0.750

Output
* formation energy: 287 meV/atom

[16]
LiAu after structural relaxation, computed with GGA-PBEsol.

abc: 6.305 6.305 6.305
angles: 90.00 90.00 90.00
Space group Fd-3m (No. 227, origin choice 2)
Inequivalent atoms, fractional coordinates:
Li: 0.125 0.125 0.125
Au: 0.125 0.125 0.625

Output
* formation energy: -453 meV/atom

[17]
Ga2Rh2O after structural relaxation, computed with GGA-PBEsol.

abc: 3.466 3.466 12.567
angles: 90.00 90.00 90.00
Space group I4/mmm (No. 139)
Inequivalent atoms, fractional coordinates:
Ga: 0.000 0.000 0.095
Rh: 0.000 0.500 0.250
O: 0.000 0.000 0.500

[18]
CrAsRh2 after structural relaxation, computed with GGA-PBEsol.

abc: 5.497 6.849 2.909
angles: 90.00 90.00 90.00
Space group Cmmm (No. 65)
Inequivalent atoms, fractional coordinates:
Cr: 0.000 0.000 0.000
As: 0.000 0.500 0.000
Rh: 0.250 0.250 0.500

Output
* formation energy: -82 meV/atom

[19]
Sr4MnN4 after structural relaxation, computed with GGA-PBEsol.

abc: 6.121 6.613 8.929
angles: 106.00 96.62 95.57
Space group P-1 (No. 2)
Inequivalent atoms, fractional coordinates:
Sr: 0.230 0.471 0.367
Sr: 0.256 0.369 0.901
Sr: 0.260 0.075 0.543
Sr: 0.262 0.971 0.103
Mn: 0.295 0.724 0.735
N: 0.091 0.896 0.775
N: 0.181 0.460 0.646
N: 0.461 0.723 0.908
N: 0.474 0.807 0.616

Output
* ΔE to the lowest computed polymorph: 28.0 meV/atom

[20]
Te2W after structural relaxation, computed with GGA-PBEsol.

abc: 3.4935 3.4935 21.9610
angles: 90.00 90.00 120.00
Space group P-6m2 (No. 187)
Inequivalent atoms, fractional coordinates:
Te: 0.0000 0.0000 0.0827
Te: 0.3333 0.6667 0.2355
Te: 0.3333 0.6667 0.4009
W: 0.0000 0.0000 0.3183
W: 0.3333 0.6667 0.0000

no.,volume (Å³/f.u.),total magnetic moment (μB per formula unit),VASP energy (eV per atom)
1,148.2,2.98,-1.476
2,126.1,0.00,-3.420
3,67.7,0.00,-9.230
4,133.4,0.00,-4.620
5,87.6,0.68,-3.595
6,326.7,0.00,-6.636
7,159.1,2.00,-6.729
8,71.4,0.00,-5.307
9,46.9,2.32,-8.772
10,50.3,0.00,-4.923
11,54.5,0.00,-2.888
12,58.0,0.00,-6.099
13,138.3,0.00,-5.593
14,68.8,0.00,-10.489
15,56.4,0.00,-4.049
16,31.3,0.00,-3.398
17,75.5,0.00,-5.466
18,54.8,2.97,-7.989
19,171.0,1.16,-6.433
20,77.4,0.00,-7.031